# Ca3Tb2PaBi6 (PBE-GGA, relaxed)
# Density of states at the Fermi level, states/eV/f.u.: 7.1
# Formation energy from the elements, meV per atom: -698
data_Ca3Tb2PaBi6
_chemical_formula_sum 'Ca6 Tb4 Pa2 Bi12'
_space_group_name_H-M_alt 'C 1 2/m 1'
_space_group_IT_number 12
_cell_length_a 7.8772
_cell_length_b 13.6518
_cell_length_c 7.9138
_cell_angle_alpha 90.00
_cell_angle_beta 109.39
_cell_angle_gamma 90.00
loop_
_space_group_symop_operation_xyz
'x,y,z'
'-x,-y,-z'
'-x,y,-z'
'x,-y,z'
'x+1/2,y+1/2,z'
'-x+1/2,-y+1/2,-z'
'-x+1/2,y+1/2,-z'
'x+1/2,-y+1/2,z'
loop_
_atom_site_label
_atom_site_type_symbol
_atom_site_fract_x
_atom_site_fract_y
_atom_site_fract_z
Ca1 Ca 0.0000 0.0000 0.0000
Ca2 Ca 0.0000 0.3304 0.0000
Tb1 Tb 0.0000 0.1662 0.5000
Pa1 Pa 0.0000 0.5000 0.5000
Bi1 Bi 0.2433 0.3358 0.7382
Bi2 Bi 0.2480 0.5000 0.2607